Below is a relaxed Ac5Te4Os crystal, with properties calculated at the GGA-PBE level.

## Properties
E_form (uncorrected) (meV/atom): -1178
Magnetic moment (μB/cell): 0.000

Lattice parameters (Å, degrees): 10.4908 10.4908 6.7031 90.00 90.00 90.00
Space group I4/m (No. 87)
Inequivalent atoms, fractional coordinates:
Ac 0.0000 0.0000 0.0000 (multiplicity 2)
Ac 0.0921 0.2613 0.5000 (multiplicity 8)
Te 0.0883 0.3094 0.0000 (multiplicity 8)
Os 0.0000 0.0000 0.5000 (multiplicity 2)

=====

Below is a relaxed HgHF2 crystal, with properties calculated at the GGA-PBE level.

## Properties
Polymorph energy (0 for the lowest one) (meV per atom): 71.3
Magnetic moment (μB/cell): 0.000

Lattice parameters (Å, degrees): 3.3176 3.3176 17.8205 90.00 90.00 120.00
Space group R-3m (No. 166, hexagonal axes)
Inequivalent atoms, fractional coordinates:
Hg 0.0000 0.0000 0.0000 (multiplicity 3)
H 0.0000 0.0000 0.5000 (multiplicity 3)
F 0.0000 0.0000 0.4354 (multiplicity 6)

=====

Below is a relaxed NaPm3Tl5 crystal, with properties calculated at the GGA-PBE level.

## Properties
Magnetic moment (μB/cell): 0.000
ΔE_f (kJ/mol of formula units): -234.1

Lattice parameters (Å, degrees): 9.4876 9.4876 6.5839 90.00 90.00 120.00
Space group P6_3/mcm (No. 193)
Inequivalent atoms, fractional coordinates:
Na 0.0000 0.0000 0.0000 (multiplicity 2)
Pm 0.0000 0.3623 0.2500 (multiplicity 6)
Tl 0.0000 0.3017 0.7500 (multiplicity 6)
Tl 0.3333 0.6667 0.0000 (multiplicity 4)

=====

Below is a relaxed PtSeBrN2 crystal, with properties calculated at the GGA-PBE level.

## Properties
Polymorph energy (0 for the lowest one) (meV per atom): 0.0
E_form (uncorrected) (meV/atom): 1169
Magnetic moment (μB/cell): 0.089

Lattice parameters (Å, degrees): 3.7870 3.7870 8.4760 90.00 90.00 90.00
Space group P4/mmm (No. 123)
Inequivalent atoms, fractional coordinates:
Pt 0.0000 0.0000 0.0000 (multiplicity 1)
Se 0.0000 0.0000 0.5000 (multiplicity 1)
Br 0.5000 0.5000 0.5000 (multiplicity 1)
N 0.0000 0.5000 0.0000 (multiplicity 2)

=====

Below is a relaxed Nd4Ho3In crystal, with properties calculated at the GGA-PBE level.

## Properties
Polymorph energy (0 for the lowest one) (meV per atom): 0.0
Magnetic moment (μB/cell): 0.000
ΔE_f (kJ/mol of formula units): -71.1

Lattice parameters (Å, degrees): 11.3360 7.1700 6.2430 90.00 90.00 90.00
Space group Pmn2_1 (No. 31)
Inequivalent atoms, fractional coordinates:
Nd 0.0000 0.1295 0.0000 (multiplicity 2)
Nd 0.0000 0.8665 0.4454 (multiplicity 2)
Nd 0.2294 0.8653 0.8149 (multiplicity 4)
Ho 0.0000 0.3737 0.4778 (multiplicity 2)
Ho 0.2464 0.3856 0.7963 (multiplicity 4)
In 0.0000 0.6046 0.9784 (multiplicity 2)

=====

Below is a relaxed LaAlHg crystal, with properties calculated at the GGA-PBE level.

## Properties
Magnetic moment (μB/cell): 0.000
ΔE_f (kJ/mol of formula units): -82.9

Lattice parameters (Å, degrees): 3.5202 3.5202 12.0717 90.00 90.00 90.00
Space group I4mm (No. 107)
Inequivalent atoms, fractional coordinates:
La 0.0000 0.0000 0.0000 (multiplicity 2)
Al 0.0000 0.0000 0.6813 (multiplicity 2)
Hg 0.0000 0.0000 0.3105 (multiplicity 2)

=====

Below is a relaxed YCo4Br crystal, with properties calculated at the GGA-PBE level.

## Properties
E_form (uncorrected) (meV/atom): 185
Magnetic moment (μB/cell): 23.670

Lattice parameters (Å, degrees): 7.1522 7.1522 7.1522 90.00 90.00 90.00
Space group F-43m (No. 216)
Inequivalent atoms, fractional coordinates:
Y 0.0000 0.0000 0.0000 (multiplicity 4)
Co 0.1258 0.1258 0.3742 (multiplicity 16)
Br 0.2500 0.2500 0.7500 (multiplicity 4)

=====

Below is a relaxed ZnGaCu2B crystal, with properties calculated at the GGA-PBE level.

## Properties
Magnetic moment (μB/cell): 0.000
ΔE_f (kJ/mol of formula units): 141.0

Lattice parameters (Å, degrees): 4.1233 4.1233 3.9839 90.00 90.00 90.00
Space group P4/mmm (No. 123)
Inequivalent atoms, fractional coordinates:
Zn 0.0000 0.0000 0.0000 (multiplicity 1)
Ga 0.5000 0.5000 0.0000 (multiplicity 1)
Cu 0.0000 0.5000 0.5000 (multiplicity 2)
B 0.5000 0.5000 0.5000 (multiplicity 1)

=====

Below is a relaxed Li2MnAsH crystal, with properties calculated at the GGA-PBE level.

## Properties
Magnetic moment (μB/cell): 3.871
Raw total energy (eV per atom): -4.534

Lattice parameters (Å, degrees): 3.8047 3.8047 4.0031 90.00 90.00 90.00
Space group P4/mmm (No. 123)
Inequivalent atoms, fractional coordinates:
Li 0.0000 0.5000 0.0000 (multiplicity 2)
Mn 0.0000 0.0000 0.5000 (multiplicity 1)
As 0.5000 0.5000 0.5000 (multiplicity 1)
H 0.0000 0.0000 0.0000 (multiplicity 1)

=====

Below is a relaxed CsTe2Br2 crystal, with properties calculated at the GGA-PBE level.

## Properties
Polymorph energy (0 for the lowest one) (meV per atom): 0.0
E_form (uncorrected) (meV/atom): -534
Magnetic moment (μB/cell): 0.002

Lattice parameters (Å, degrees): 4.3178 4.3178 20.2100 90.00 90.00 90.00
Space group I4/mmm (No. 139)
Inequivalent atoms, fractional coordinates:
Cs 0.0000 0.0000 0.0000 (multiplicity 2)
Te 0.0000 0.5000 0.2500 (multiplicity 4)
Br 0.0000 0.0000 0.3992 (multiplicity 4)

=====

Below is a relaxed Pr3AsP crystal, with properties calculated at the GGA-PBE level.

## Properties
Magnetic moment (μB/cell): 0.001
ΔE_f (kJ/mol of formula units): -501.1

Lattice parameters (Å, degrees): 12.0794 11.2051 8.1949 90.00 90.00 90.00
Space group C2/c (No. 15)
Inequivalent atoms, fractional coordinates:
Pr 0.0959 0.0918 0.4138 (multiplicity 8)
Pr 0.0967 0.4086 0.5863 (multiplicity 8)
Pr 0.2499 0.1787 0.8049 (multiplicity 8)
As 0.0000 0.1611 0.7500 (multiplicity 4)
As 0.0000 0.3399 0.2500 (multiplicity 4)
P 0.2493 0.0554 0.1225 (multiplicity 8)

=====

Below is a relaxed Nd4Ho3Th crystal, with properties calculated at the GGA-PBE level.

## Properties
Polymorph energy (0 for the lowest one) (meV per atom): 161.5
Magnetic moment (μB/cell): 0.000
ΔE_f (kJ/mol of formula units): 131.9

Lattice parameters (Å, degrees): 23.6849 3.4708 6.8556 90.00 106.52 90.00
Space group C2/m (No. 12)
Inequivalent atoms, fractional coordinates:
Nd 0.1214 0.0000 0.3626 (multiplicity 4)
Nd 0.2415 0.5000 0.2343 (multiplicity 4)
Ho 0.0000 0.0000 0.5000 (multiplicity 2)
Ho 0.1219 0.0000 0.8831 (multiplicity 4)
Th 0.0000 0.5000 0.0000 (multiplicity 2)